Compound: Pu3Tl2CoO12
Source: the Alexandria database
Functional: PBE+U
Structure: optimized geometry

Crystal system: trigonal
VASP energy: -146.880 eV per cell

Structure (POSCAR):
```
Pu3Tl2CoO12
1.0
7.2569 -0.2861 -0.2029
3.3351 6.4515 -0.2029
3.3351 1.9413 6.1558
O Tl Pu Co
12 2 3 1
Cartesian
5.4835 0.2784 0.1975 O
10.9769 6.3895 1.4450 O
2.9501 4.6307 0.1975 O
7.3176 1.4749 3.9966 O
8.4435 7.8283 5.5525 O
4.8963 5.6347 3.9966 O
6.6094 3.8472 5.6793 O
7.3176 4.2595 0.0707 O
10.9769 3.4760 5.5525 O
6.6094 6.6318 1.7534 O
9.0307 2.4720 1.7534 O
2.9501 1.7172 4.3050 O
8.8641 5.1596 3.6597 Tl
5.0630 2.9471 2.0903 Tl
3.6285 -0.1430 -0.1015 Pu
1.6675 3.2257 -0.1015 Pu
1.6675 0.9706 3.0779 Pu
0.0000 0.0000 0.0000 Co
```